[1]
Computed, not measured: MgPH after structural relaxation at the PBEsol level of DFT.

The structure belongs to space group C2 (No. 5); the cell edges are 6.954, 4.004 and 7.799 Å and the angles 90.00°, 109.82° and 90.00°. The distinct sites, in fractional coordinates, are Mg at (0.108, 0.000, 0.344), P at (0.000, 0.497, 0.500), P at (0.000, 0.876, 0.000) and H at (0.154, 0.629, 0.014).

The calculated total energy comes out at -47.2 eV for the cell shown. The crystal system is monoclinic.

[2]
Computed, not measured: ZrIr2Ru after structural relaxation at the PBEsol level of DFT.

The structure belongs to space group Fm-3m (No. 225); the cell edges are 6.321, 6.321 and 6.321 Å and the angles 90.00°, 90.00° and 90.00°. The distinct sites, in fractional coordinates, are Zr at (0.000, 0.000, 0.000), Ir at (0.250, 0.250, 0.250) and Ru at (0.000, 0.000, 0.500).

As for the energy relative to the elements: -0.008 eV/atom. The offset from the most stable computed form comes out at 546 meV/atom. The crystal system is cubic.

[3]
Computed, not measured: EuAl3Pb2O8 after structural relaxation at the PBEsol level of DFT.

The structure belongs to space group Pn-3m (No. 224, origin choice 2); the cell edges are 9.494, 9.494 and 9.494 Å and the angles 90.00°, 90.00° and 90.00°. The distinct sites, in fractional coordinates, are Eu at (0.000, 0.000, 0.000), Al at (0.000, 0.250, 0.750), Pb at (0.115, 0.115, 0.385), O at (0.091, 0.091, 0.762) and O at (0.140, 0.140, 0.140).

The crystal system is cubic. The calculation puts the uncorrected formation energy at -2449.4 meV/atom.

[4]
Computed, not measured: Li2MnGa2 after structural relaxation at the PBEsol level of DFT.

The structure belongs to space group I4/mmm (No. 139); the cell edges are 3.385, 3.385 and 12.758 Å and the angles 90.00°, 90.00° and 90.00°. The distinct sites, in fractional coordinates, are Li at (0.000, 0.500, 0.250), Mn at (0.000, 0.000, 0.000) and Ga at (0.000, 0.000, 0.404).

As for the energy relative to the elements: 0.020 eV/atom. The crystal system is tetragonal.

[5]
Computed, not measured: Cu3W after structural relaxation at the PBEsol level of DFT.

The structure belongs to space group Pm-3m (No. 221); the cell edges are 3.700, 3.700 and 3.700 Å and the angles 90.00°, 90.00° and 90.00°. The distinct sites, in fractional coordinates, are Cu at (0.000, 0.000, 0.500) and W at (0.500, 0.500, 0.500).

As for the energy relative to the elements: 0.572 eV/atom. The crystal system is cubic.

[6]
Computed, not measured: HgMo2 after structural relaxation at the PBEsol level of DFT.

The structure belongs to space group I4_1/amd (No. 141, origin choice 2); the cell edges are 2.953, 2.953 and 24.399 Å and the angles 90.00°, 90.00° and 90.00°. The distinct sites, in fractional coordinates, are Hg at (0.000, 0.250, 0.375) and Mo at (0.000, 0.250, 0.789).

As for the energy relative to the elements: 0.696 eV/atom. The crystal system is tetragonal.

[7]
Computed, not measured: LaCu2Br after structural relaxation at the PBEsol level of DFT.

The structure belongs to space group Cm (No. 8); the cell edges are 7.225, 4.177 and 6.533 Å and the angles 90.00°, 90.06° and 90.00°. The distinct sites, in fractional coordinates, are La at (0.000, 0.000, 0.000), Cu at (0.167, 0.500, 0.290), Cu at (0.334, 0.000, 0.253) and Br at (0.166, 0.500, 0.700).

The offset from the most stable computed form comes out at 0 meV/atom. The crystal system is monoclinic. The calculation puts the uncorrected formation energy at -419.0 meV/atom.

[8]
Computed, not measured: YCrSCl2 after structural relaxation at the PBEsol level of DFT.

The structure belongs to space group P4/mmm (No. 123); the cell edges are 4.555, 4.555 and 4.781 Å and the angles 90.00°, 90.00° and 90.00°. The distinct sites, in fractional coordinates, are Y at (0.000, 0.000, 0.000), Cr at (0.500, 0.500, 0.500), S at (0.500, 0.500, 0.000) and Cl at (0.000, 0.500, 0.500).

The crystal system is tetragonal. The calculation puts the uncorrected formation energy at -832.1 meV/atom.

[9]
Computed, not measured: TiAg2Os after structural relaxation at the PBEsol level of DFT.

The structure belongs to space group Fm-3m (No. 225); the cell edges are 6.297, 6.297 and 6.297 Å and the angles 90.00°, 90.00° and 90.00°. The distinct sites, in fractional coordinates, are Ti at (0.000, 0.000, 0.000), Ag at (0.250, 0.250, 0.250) and Os at (0.000, 0.000, 0.500).

As for the energy relative to the elements: 0.515 eV/atom. The crystal system is cubic.

[10]
Computed, not measured: K2Ag2I after structural relaxation at the PBEsol level of DFT.

The structure belongs to space group I4/mmm (No. 139); the cell edges are 6.403, 6.403 and 8.589 Å and the angles 90.00°, 90.00° and 90.00°. The distinct sites, in fractional coordinates, are K at (0.000, 0.500, 0.250), Ag at (0.000, 0.000, 0.152) and I at (0.000, 0.000, 0.500).

The crystal system is tetragonal. The calculation puts the uncorrected formation energy at -140.7 meV/atom.

[11]
Computed, not measured: SiNi after structural relaxation at the PBEsol level of DFT.

The structure belongs to space group Fd-3m (No. 227, origin choice 2); the cell edges are 5.680, 5.680 and 5.680 Å and the angles 90.00°, 90.00° and 90.00°. The distinct sites, in fractional coordinates, are Si at (0.125, 0.125, 0.125) and Ni at (0.125, 0.125, 0.625).

The crystal system is cubic. The calculation puts the uncorrected formation energy at -75.1 meV/atom.

[12]
Computed, not measured: Mn2FeSb after structural relaxation at the PBEsol level of DFT.

The structure belongs to space group P4mm (No. 99); the cell edges are 3.178, 3.178 and 5.347 Å and the angles 90.00°, 90.00° and 90.00°. The distinct sites, in fractional coordinates, are Mn at (0.000, 0.000, 0.000), Mn at (0.500, 0.500, 0.222), Fe at (0.500, 0.500, 0.779) and Sb at (0.000, 0.000, 0.500).

The crystal system is tetragonal. The calculation puts the uncorrected formation energy at 294.2 meV/atom.

| no. | mass density (g/cm3) | calculated volume (Å³/cell) |
| --- | --- | --- |
| 1 | 1.830 | 204.3 |
| 2 | 15.170 | 252.5 |
| 3 | 6.017 | 855.8 |
| 4 | 4.732 | 146.2 |
| 5 | 12.279 | 50.6 |
| 6 | 12.257 | 212.7 |
| 7 | 5.826 | 197.2 |
| 8 | 4.082 | 99.2 |
| 9 | 12.075 | 249.7 |
| 10 | 3.969 | 352.1 |
| 11 | 6.292 | 183.2 |
| 12 | 8.838 | 54.0 |